Here is crystalline Na2Zr2TeSe3 at its relaxed geometry from OQMD. Energies are from PBE.

a = 6.725 Å, b = 6.725 Å, c = 7.037 Å
α = 115.19°, β = 115.19°, γ = 63.20°
Each line ends with the local moment (μB).
Atoms (fractional coordinates):
Na 0.710 0.998 0.107  0.00
Na 0.002 0.290 0.893  0.00
Se 0.861 0.618 0.284  -0.01
Se 0.637 0.363 0.500  0.00
Se 0.382 0.139 0.716  -0.01
Te 0.176 0.824 0.000  -0.03
Zr 0.485 0.753 0.411  0.64
Zr 0.247 0.515 0.589  0.63

Results
As for the space group: C2. The uncorrected energy comes out at -40.58 eV for the cell shown.

Here is crystalline Na2ZrTe2Se at its relaxed geometry from OQMD. Energies are from PBE.

a = 7.299 Å, b = 7.299 Å, c = 7.568 Å
α = 99.38°, β = 99.38°, γ = 119.61°
Atoms (fractional coordinates):
Na 0.000 0.000 0.000
Na 0.855 0.145 0.500
Na 0.500 0.500 0.500
Na 0.145 0.855 0.500
Se 0.711 0.711 0.218
Se 0.289 0.289 0.782
Te 0.436 0.075 0.234
Te 0.075 0.436 0.234
Te 0.925 0.564 0.766
Te 0.564 0.925 0.766
Zr 0.656 0.344 0.000
Zr 0.344 0.656 0.000

Results
As for the space group: C2/m. The uncorrected energy comes out at -54.35 eV for the cell shown.

Here is crystalline Na2Zr2Te3Se at its relaxed geometry from OQMD. Energies are from PBE.

a = 7.063 Å, b = 7.063 Å, c = 7.085 Å
α = 114.00°, β = 114.00°, γ = 63.63°
Each line ends with the local moment (μB).
Atoms (fractional coordinates):
Na 0.259 0.978 0.367  0.00
Na 0.022 0.741 0.633  0.00
Se 0.372 0.628 0.000  0.00
Te 0.139 0.384 0.218  -0.01
Te 0.821 0.179 0.500  -0.03
Te 0.616 0.861 0.782  -0.01
Zr 0.534 0.262 0.102  0.64
Zr 0.738 0.466 0.898  0.64

Results
As for the space group: C2. The uncorrected energy comes out at -38.44 eV for the cell shown.

Theoretical density, record by record: 4000; 4720; 4122 kg/m³
M_tot, record by record: 0.25; 0.00; 0.25 μB per atom